# 1
Entry from Alexandria via LeMat-Bulk: a geometry-optimized Pr2In5Cl12 structure (PBE-GGA).

```
Pr2In5Cl12
1.0
8.227 -4.962 0.000
8.227 4.962 0.000
-2.113 0.000 7.065
Pr In Cl
2 5 12
Cartesian
8.227 2.504 0.000
8.227 -2.504 0.000
1.438 0.000 3.587
4.191 0.000 0.020
7.170 0.000 3.533
10.150 0.000 7.046
12.902 0.000 3.478
-1.374 0.000 5.584
3.813 3.080 5.528
6.099 1.875 1.832
10.528 3.080 1.537
8.241 1.875 5.233
5.237 0.000 5.645
9.104 0.000 1.420
6.099 -1.875 1.832
3.813 -3.080 5.528
8.241 -1.875 5.233
10.528 -3.080 1.537
15.715 0.000 1.482
```

## Properties
uncorrected energy	-72.68	eV for the cell shown
formation energy (no corrections)	-1.44	eV/atom



# 2
Entry from Alexandria via LeMat-Bulk: a geometry-optimized Sr3GeAs4 structure (PBE-GGA).

```
Sr3GeAs4
1.0
9.792 0.000 0.000
0.000 7.743 0.000
0.000 0.000 6.032
Sr Ge As
6 2 8
Cartesian
0.000 0.470 0.000
1.888 4.803 4.329
3.008 2.940 1.313
4.896 7.273 3.016
6.784 2.940 1.313
7.904 4.803 4.329
0.000 1.456 3.218
4.896 6.286 0.202
0.000 3.288 1.653
0.000 6.697 2.604
2.276 6.107 1.321
2.620 1.635 4.337
4.896 1.046 5.620
4.896 4.455 4.669
7.172 1.635 4.337
7.516 6.107 1.321
```

## Properties
uncorrected energy	-66.55	eV for the cell shown
energy of formation from the pure elements	-627	meV/atom



# 3
Entry from Alexandria via LeMat-Bulk: a geometry-optimized Ac2ScTa structure (PBE-GGA).

```
Ac2ScTa
1.0
1.725 0.996 11.995
-1.725 0.996 11.995
0.000 -1.992 11.995
Ac Sc Ta
2 1 1
Cartesian
0.000 0.000 3.047
0.000 0.000 32.938
0.000 0.000 17.992
0.000 0.000 0.000
```

## Properties
uncorrected energy	-22.76	eV for the cell shown
energy of formation from the pure elements	909	meV/atom



# 4
Entry from Alexandria via LeMat-Bulk: a geometry-optimized Ta2Tl2Te structure (PBE-GGA).

```
Ta2Tl2Te
1.0
-1.999 1.999 7.285
1.999 -1.999 7.285
1.999 1.999 -7.285
Ta Tl Te
2 2 1
Cartesian
0.000 0.000 1.336
0.000 0.000 13.234
1.999 0.000 3.642
0.000 1.999 3.642
0.000 0.000 7.285
```

## Properties
uncorrected energy	-27.87	eV for the cell shown
formation energy (no corrections)	0.74	eV/atom